No. 1
Computed, not measured: a geometry-optimized Pr4NdDy2Ho structure at the PBE level of DFT.

a = 5.161 Å, b = 5.193 Å, c = 10.196 Å
α = 90.00°, β = 90.00°, γ = 90.00°
Space group Pmmm (No. 47)
Unique sites:
Pr  0.000  0.000  0.247 (multiplicity 2)
Pr  0.500  0.500  0.248 (multiplicity 2)
Nd  0.500  0.000  0.500 (multiplicity 1)
Dy  0.000  0.500  0.500 (multiplicity 1)
Dy  0.500  0.000  0.000 (multiplicity 1)
Ho  0.000  0.500  0.000 (multiplicity 1)

## Properties
Formation enthalpy at 0 K: 15 meV per atom


No. 2
Computed, not measured: a geometry-optimized Pr2Nd4DyHo structure at the PBE level of DFT.

a = 5.159 Å, b = 5.182 Å, c = 10.306 Å
α = 90.00°, β = 90.13°, γ = 90.00°
Space group P2/m (No. 10)
Unique sites:
Pr  0.000  0.000  0.000 (multiplicity 1)
Pr  0.500  0.500  0.500 (multiplicity 1)
Nd  0.000  0.500  0.249 (multiplicity 2)
Nd  0.500  0.000  0.250 (multiplicity 2)
Dy  0.000  0.000  0.500 (multiplicity 1)
Ho  0.500  0.500  0.000 (multiplicity 1)

## Properties
Formation enthalpy at 0 K: 15 meV per atom


No. 3
Computed, not measured: a geometry-optimized PrNd2Dy4Ho structure at the PBE level of DFT.

a = 6.832 Å, b = 11.889 Å, c = 13.293 Å
α = 90.00°, β = 90.00°, γ = 90.00°
Space group Imma (No. 74)
Unique sites:
Pr  0.000  0.000  0.000 (multiplicity 4)
Nd  0.000  0.000  0.500 (multiplicity 4)
Nd  0.250  0.250  0.250 (multiplicity 4)
Dy  0.000  0.004  0.750 (multiplicity 8)
Dy  0.250  0.250  0.505 (multiplicity 8)
Ho  0.250  0.250  0.750 (multiplicity 4)

## Properties
Formation enthalpy at 0 K: 409 meV per atom


No. 4
Computed, not measured: a geometry-optimized Pr3NdDy2Ho6 structure at the PBE level of DFT.

a = 6.226 Å, b = 10.780 Å, c = 11.822 Å
α = 90.00°, β = 100.07°, γ = 90.00°
Space group C2/m (No. 12)
Unique sites:
Pr  0.000  0.000  0.000 (multiplicity 2)
Pr  0.000  0.333  0.000 (multiplicity 4)
Nd  0.000  0.500  0.500 (multiplicity 2)
Dy  0.000  0.167  0.500 (multiplicity 4)
Ho  0.249  0.000  0.747 (multiplicity 4)
Ho  0.249  0.333  0.747 (multiplicity 8)

## Properties
Formation enthalpy at 0 K: 18 meV per atom


No. 5
Computed, not measured: a geometry-optimized PrNd3Dy2Ho6 structure at the PBE level of DFT.

a = 6.213 Å, b = 10.757 Å, c = 11.812 Å
α = 90.00°, β = 100.06°, γ = 90.00°
Space group C2/m (No. 12)
Unique sites:
Pr  0.000  0.000  0.000 (multiplicity 2)
Nd  0.000  0.167  0.500 (multiplicity 4)
Nd  0.000  0.500  0.500 (multiplicity 2)
Dy  0.000  0.333  0.000 (multiplicity 4)
Ho  0.249  0.500  0.248 (multiplicity 4)
Ho  0.250  0.167  0.248 (multiplicity 8)

## Properties
Formation enthalpy at 0 K: 16 meV per atom


No. 6
Computed, not measured: a geometry-optimized NdDyHoPu structure at the PBE level of DFT.

a = 7.965 Å, b = 7.965 Å, c = 7.965 Å
α = 90.00°, β = 90.00°, γ = 90.00°
Space group F-43m (No. 216)
Unique sites:
Nd  0.000  0.000  0.000 (multiplicity 4)
Dy  0.250  0.250  0.250 (multiplicity 4)
Ho  0.250  0.250  0.750 (multiplicity 4)
Pu  0.000  0.000  0.500 (multiplicity 4)

## Properties
Formation enthalpy at 0 K: 213 meV per atom


No. 7
Computed, not measured: a geometry-optimized Nd2Dy6Ho3Pu structure at the PBE level of DFT.

a = 6.150 Å, b = 10.662 Å, c = 11.734 Å
α = 90.00°, β = 100.12°, γ = 90.00°
Space group C2/m (No. 12)
Unique sites:
Nd  0.000  0.167  0.000 (multiplicity 4)
Dy  0.246  0.500  0.749 (multiplicity 4)
Dy  0.248  0.335  0.251 (multiplicity 8)
Ho  0.000  0.000  0.500 (multiplicity 2)
Ho  0.000  0.333  0.500 (multiplicity 4)
Pu  0.000  0.500  0.000 (multiplicity 2)

## Properties
Formation enthalpy at 0 K: 49 meV per atom


No. 8
Computed, not measured: a geometry-optimized Nd3Dy6Ho2Pu structure at the PBE level of DFT.

a = 6.173 Å, b = 10.696 Å, c = 11.751 Å
α = 90.00°, β = 100.12°, γ = 90.00°
Space group C2/m (No. 12)
Unique sites:
Nd  0.000  0.000  0.000 (multiplicity 2)
Nd  0.000  0.333  0.000 (multiplicity 4)
Dy  0.246  0.335  0.744 (multiplicity 8)
Dy  0.248  0.500  0.256 (multiplicity 4)
Ho  0.000  0.167  0.500 (multiplicity 4)
Pu  0.000  0.500  0.500 (multiplicity 2)

## Properties
Formation enthalpy at 0 K: 44 meV per atom


No. 9
Computed, not measured: a geometry-optimized Nd2Dy3HoS6 structure at the PBE level of DFT.

a = 17.247 Å, b = 3.938 Å, c = 7.968 Å
α = 90.00°, β = 103.61°, γ = 90.00°
Space group C2/m (No. 12)
Unique sites:
Nd  0.168  0.000  0.335 (multiplicity 4)
Dy  0.000  0.500  0.500 (multiplicity 2)
Dy  0.169  0.000  0.833 (multiplicity 4)
Ho  0.000  0.500  0.000 (multiplicity 2)
S  0.004  0.000  0.754 (multiplicity 4)
S  0.163  0.500  0.592 (multiplicity 4)
S  0.165  0.500  0.072 (multiplicity 4)

## Properties
Formation energy without anion corrections: -23.99 eV per formula unit


No. 10
Computed, not measured: a geometry-optimized Nd4DyHo3S8 structure at the PBE level of DFT.

a = 7.8877 Å, b = 7.8877 Å, c = 19.8822 Å
α = 90.00°, β = 90.00°, γ = 120.00°
Space group R-3m (No. 166, hexagonal axes)
Unique sites:
Nd  0.0000  0.0000  0.0000 (multiplicity 3)
Nd  0.0000  0.5000  0.0000 (multiplicity 9)
Dy  0.0000  0.0000  0.5000 (multiplicity 3)
Ho  0.0000  0.5000  0.5000 (multiplicity 9)
S  0.0000  0.0000  0.2438 (multiplicity 6)
S  0.0010  0.5005  0.7560 (multiplicity 18)

## Properties
Formation energy without anion corrections: -32.10 eV per formula unit


No. 11
Computed, not measured: a geometry-optimized NdDy3Ho4S8 structure at the PBE level of DFT.

a = 7.8313 Å, b = 7.8313 Å, c = 19.2036 Å
α = 90.00°, β = 90.00°, γ = 120.00°
Space group R-3m (No. 166, hexagonal axes)
Unique sites:
Nd  0.0000  0.0000  0.0000 (multiplicity 3)
Dy  0.0000  0.5000  0.0000 (multiplicity 9)
Ho  0.0000  0.0000  0.5000 (multiplicity 3)
Ho  0.0000  0.5000  0.5000 (multiplicity 9)
S  0.0000  0.0000  0.2493 (multiplicity 6)
S  0.0068  0.5034  0.2476 (multiplicity 18)

## Properties
Formation energy without anion corrections: -31.69 eV per formula unit


No. 12
Computed, not measured: a geometry-optimized NdDy3Ho2S6 structure at the PBE level of DFT.

a = 6.789 Å, b = 11.802 Å, c = 6.796 Å
α = 90.00°, β = 109.50°, γ = 90.00°
Space group C2/m (No. 12)
Unique sites:
Nd  0.000  0.000  0.000 (multiplicity 2)
Dy  0.000  0.162  0.500 (multiplicity 4)
Dy  0.000  0.500  0.500 (multiplicity 2)
Ho  0.000  0.334  0.000 (multiplicity 4)
S  0.240  0.500  0.251 (multiplicity 4)
S  0.243  0.328  0.745 (multiplicity 8)

## Properties
Formation energy without anion corrections: -23.91 eV per formula unit


Summary of final energy in eV per cell
-37.5; -37.7; -136.1; -111.1; -111.1; -109.7; -129.3; -129.7; -153.3; -307.6; -304.8; -152.8
(order as listed above)